## BiSbRh3 (PBE)

Data for a relaxed structure of BiSbRh3.

Structure (CIF):
```
data_BiSbRh3
_chemical_formula_sum 'Bi1 Sb1 Rh3'
_cell_length_a 4.854
_cell_length_b 4.854
_cell_length_c 4.854
_cell_angle_alpha 90.00
_cell_angle_beta 90.00
_cell_angle_gamma 90.00
_space_group_name_H-M_alt 'P 1'
_space_group_IT_number 1
_space_group_name_Hall 'P 1'
loop_
_atom_site_label
_atom_site_type_symbol
_atom_site_fract_x
_atom_site_fract_y
_atom_site_fract_z
Sb1 Sb 0.000 0.000 0.000
Rh1 Rh 0.000 0.500 0.000
Rh2 Rh 0.000 0.000 0.500
Rh3 Rh 0.500 0.000 0.000
Bi1 Bi 0.500 0.500 0.500
```

Summary:
Formation energy (no corrections) = 0.574 eV per atom
Total magnetic moment = 0.732 μB per formula unit
VASP energy = -5.44 eV per atom